(1)
Below is an optimized crystal structure of Dy2ErSc3, with properties calculated at the PBE-GGA level.

Output
Calculated volume ... 27.8 A^3/atom
DFT formation energy ... 0.05 eV/atom

Lattice parameters (Å, degrees): 5.943 3.430 16.476 90.00 96.93 90.00
Space group P2_1/m (No. 11)
Inequivalent atoms, fractional coordinates:
Dy 0.028 0.250 0.334 (multiplicity 2)
Dy 0.250 0.250 0.000 (multiplicity 2)
Er 0.472 0.250 0.666 (multiplicity 2)
Sc 0.139 0.750 0.168 (multiplicity 2)
Sc 0.251 0.750 0.500 (multiplicity 2)
Sc 0.361 0.750 0.832 (multiplicity 2)

(2)
Below is an optimized crystal structure of NbVCr, with properties calculated at the PBE-GGA level.

Output
Calculated volume ... 14.4 A^3/atom
DFT formation energy ... 0.03 eV/atom

Lattice parameters (Å, degrees): 4.3506 4.3506 5.2873 90.00 90.00 120.00
Space group P3m1 (No. 156)
Inequivalent atoms, fractional coordinates:
Nb 0.0000 0.0000 0.0000 (multiplicity 1)
Nb 0.3333 0.6667 0.3423 (multiplicity 1)
V 0.0000 0.0000 0.5119 (multiplicity 1)
V 0.6667 0.3333 0.6786 (multiplicity 1)
Cr 0.3333 0.6667 0.8336 (multiplicity 1)
Cr 0.6667 0.3333 0.1755 (multiplicity 1)

| no. | total magnetic moment (μB per atom) |
| --- | --- |
| 1 | 0.000 |
| 2 | 0.000 |